DFT (PBE-GGA) results for a relaxed structure of Ti3WS.

Properties
**Total magnetization**: 2.16 μB per cell
**Uncorrected formation energy**: 0.9646 eV/atom
**V**: 110.55 Å³/f.u.
**Offset from the most stable computed form**: 1019 meV per atom

a b c (Å): 4.799 4.799 4.799
angles (deg): 90.00 90.00 90.00
Last column: magnetic moment on the atom in μB.
Atoms (fractional coordinates):
W (0.000, 0.000, 0.000)  -0.10
Ti (0.500, 0.000, 0.000)  0.77
Ti (0.000, 0.000, 0.500)  0.40
Ti (0.000, 0.500, 0.000)  0.48
S (0.500, 0.500, 0.500)  -0.04